This record from Alexandria via LeMat-Bulk describes crystalline Tc2Os at its relaxed geometry. The functional is PBE.

extended XYZ file:
```
3
Lattice="-2.218 2.731 3.188 -0.824 -3.781 0.303 2.504 -0.468 0.977" Properties=species:S:1:pos:R:3 pbc="T T T"
Tc 0.385 -1.924 1.906
Tc -0.923 0.406 2.561
Os -2.218 2.731 3.188
```

Computed properties:
**Calculated density**: 14.73 g/cm3
**Calculated volume**: 44 Å³ per cell
**Energy relative to the elements**: 5.8 kJ/mol of atoms
**Total magnetic moment**: 0.00 μB/cell
**E above lowest polymorph**: 125 meV/atom
**Crystal system**: orthorhombic

This record from Alexandria via LeMat-Bulk describes crystalline KRb2Ba at its relaxed geometry. The functional is PBE.

extended XYZ file:
```
4
Lattice="4.983 0.000 0.000 0.000 7.946 0.000 0.000 0.000 7.946" Properties=species:S:1:pos:R:3 pbc="T T T"
Rb 0.000 0.000 3.973
Rb 0.000 3.973 0.000
Ba 2.491 0.000 0.000
K 2.491 3.973 3.973
```

Computed properties:
**Calculated density**: 1.83 g/cm3
**Calculated volume**: 315 Å³ per cell
**Energy relative to the elements**: 11.5 kJ/mol of atoms
**Total magnetic moment**: 0.00 μB/cell
**E above lowest polymorph**: 55 meV/atom
**Crystal system**: tetragonal

This record from Alexandria via LeMat-Bulk describes crystalline Ac2B3SbPt12 at its relaxed geometry. The functional is PBE.

extended XYZ file:
```
18
Lattice="-4.977 -5.913 1.230 2.485 -7.365 -0.915 0.925 -4.551 6.299" Properties=species:S:1:pos:R:3 pbc="T T T"
Ac -0.949 -10.797 4.005
Pt 1.074 -12.856 5.246
Pt 0.965 -10.129 1.597
Pt 0.277 -4.299 3.875
Pt -2.616 -12.138 6.307
Pt -3.456 -9.269 2.868
Pt -2.642 -4.973 1.368
Pt -2.533 -7.700 5.017
Pt 1.888 -8.560 3.747
B 0.462 -2.276 3.149
Pt 0.041 -8.462 5.871
Pt -1.845 -13.530 2.739
Pt -1.609 -9.367 0.743
Pt 1.049 -5.691 0.307
Ac -0.618 -7.032 2.609
Sb 0.000 0.000 0.000
B 1.242 -3.682 -0.457
B -2.488 -2.957 0.615
```

Computed properties:
**Calculated density**: 14.25 g/cm3
**ΔE_f (raw)**: -10.8 kcal/mol of atoms
**Calculated volume**: 344 Å³ per cell
**Total magnetic moment**: 0.00 μB/cell
**Crystal system**: trigonal

This record from Alexandria via LeMat-Bulk describes crystalline NpZn4Rh at its relaxed geometry. The functional is PBE.

extended XYZ file:
```
6
Lattice="-3.776 -3.396 1.038 0.442 -3.211 4.044 -3.003 0.659 4.173" Properties=species:S:1:pos:R:3 pbc="T T T"
Zn -2.085 -2.031 5.258
Zn -4.170 -2.122 3.772
Rh -1.584 -1.487 2.314
Np 0.000 0.000 0.000
Zn -2.467 -4.035 3.708
Zn -3.951 -3.709 5.771
```

Computed properties:
**Calculated density**: 10.15 g/cm3
**Calculated volume**: 98 Å³ per cell
**Energy relative to the elements**: -9.4 kJ/mol of atoms
**Total magnetic moment**: 4.01 μB/cell
**Crystal system**: cubic

This record from Alexandria via LeMat-Bulk describes crystalline TbCoNiSn at its relaxed geometry. The functional is PBE.

extended XYZ file:
```
4
Lattice="4.596 0.000 0.000 2.298 3.980 0.000 2.298 1.327 3.752" Properties=species:S:1:pos:R:3 pbc="T T T"
Sn 2.298 1.327 0.938
Ni 4.596 2.653 1.876
Co 0.000 0.000 0.000
Tb 6.893 3.980 2.814
```

Computed properties:
**Calculated density**: 9.56 g/cm3
**Calculated volume**: 69 Å³ per cell
**Energy relative to the elements**: -31.6 kJ/mol of atoms
**Total magnetic moment**: 1.43 μB/cell
**Crystal system**: cubic

This record from Alexandria via LeMat-Bulk describes crystalline Sr3Li8Au at its relaxed geometry. The functional is PBE.

extended XYZ file:
```
12
Lattice="-2.024 -4.008 4.242 -0.523 -5.991 -1.412 8.327 -4.832 3.904" Properties=species:S:1:pos:R:3 pbc="T T T"
Au 4.458 -4.200 2.656
Li 2.706 -2.267 1.513
Sr 3.175 -7.462 3.459
Sr -0.512 -6.860 2.269
Li 6.296 -7.524 2.568
Li 1.745 -4.168 3.525
Li 2.458 -5.109 0.843
Sr 7.712 -4.731 3.706
Li 5.252 -9.592 4.757
Li 5.522 -6.502 5.486
Li 2.711 -10.858 4.526
Li -0.302 -3.422 1.119
```

Computed properties:
**Calculated density**: 2.65 g/cm3
**Calculated volume**: 322 Å³ per cell
**Energy relative to the elements**: -4.0 kJ/mol of atoms
**Total magnetic moment**: 0.00 μB/cell
**Crystal system**: trigonal

This record from Alexandria via LeMat-Bulk describes crystalline Cd2InCu6 at its relaxed geometry. The functional is PBE.

extended XYZ file:
```
9
Lattice="5.199 0.000 3.002 1.733 4.902 3.002 0.000 0.000 6.003" Properties=species:S:1:pos:R:3 pbc="T T T"
Cd 1.733 1.225 3.002
Cu 2.044 1.446 6.003
Cu 4.177 1.446 4.772
Cu 4.177 1.446 7.235
Cu 2.755 3.456 7.235
Cu 4.888 3.456 6.003
Cd 5.199 3.676 9.005
In 0.000 0.000 0.000
Cu 2.755 3.456 4.772
```

Computed properties:
**Calculated density**: 7.82 g/cm3
**Calculated volume**: 153 Å³ per cell
**Energy relative to the elements**: 26.1 kJ/mol of atoms
**Total magnetic moment**: 0.00 μB/cell
**Crystal system**: cubic

This record from Alexandria via LeMat-Bulk describes crystalline Ac2HoCu3Sn4 at its relaxed geometry. The functional is PBE.

extended XYZ file:
```
10
Lattice="-1.697 -3.692 -2.239 -0.778 -2.105 4.060 -10.777 4.720 0.383" Properties=species:S:1:pos:R:3 pbc="T T T"
Ac -8.668 2.574 2.325
Ho -6.626 -0.539 1.102
Sn -7.910 1.247 -0.868
Ac -3.346 -0.752 -1.031
Sn 0.000 0.000 0.000
Cu -10.315 2.300 -0.783
Cu -1.700 -0.479 2.077
Cu -5.389 2.360 0.192
Sn -1.237 -2.899 0.911
Sn -4.105 0.575 2.162
```

Computed properties:
**Calculated density**: 8.42 g/cm3
**Calculated volume**: 253 Å³ per cell
**Energy relative to the elements**: -45.6 kJ/mol of atoms
**Total magnetic moment**: 0.00 μB/cell
**Crystal system**: tetragonal

This record from Alexandria via LeMat-Bulk describes crystalline Bi3Te at its relaxed geometry. The functional is PBE.

extended XYZ file:
```
4
Lattice="-6.434 -1.367 -0.509 0.806 -4.259 1.249 -0.610 1.200 4.486" Properties=species:S:1:pos:R:3 pbc="T T T"
Bi 0.212 -1.754 2.026
Te -3.727 0.319 3.494
Bi -3.019 -2.410 1.876
Bi -0.518 1.020 3.812
```

Computed properties:
**Calculated density**: 8.99 g/cm3
**ΔE_f (raw)**: -0.7 kcal/mol of atoms
**Calculated volume**: 139 Å³ per cell
**Total magnetic moment**: 0.00 μB/cell
**E above lowest polymorph**: 0 meV/atom
**Crystal system**: orthorhombic

This record from Alexandria via LeMat-Bulk describes crystalline Pm6PRu2Br3 at its relaxed geometry. The functional is PBE.

extended XYZ file:
```
12
Lattice="-0.784 -3.680 6.101 -3.776 -1.845 -5.807 7.106 -2.864 -2.227" Properties=species:S:1:pos:R:3 pbc="T T T"
Pm -0.191 -1.555 -2.417
Br 0.266 -3.577 -4.975
Pm 2.738 -6.833 0.485
Br 2.281 -4.812 3.042
Pm 4.439 -3.842 -1.707
Br 1.273 -4.194 -0.966
P 0.000 0.000 0.000
Ru -1.779 -3.069 2.138
Pm 1.709 -6.202 -3.611
Pm 0.838 -2.187 1.678
Pm -1.892 -4.547 -0.225
Ru -2.780 -2.455 -1.844
```

Computed properties:
**Calculated density**: 6.59 g/cm3
**ΔE_f (raw)**: -23.1 kcal/mol of atoms
**Calculated volume**: 339 Å³ per cell
**Total magnetic moment**: 0.00 μB/cell
**Crystal system**: monoclinic

This record from Alexandria via LeMat-Bulk describes crystalline Cr2HRuW at its relaxed geometry. The functional is PBE.

extended XYZ file:
```
5
Lattice="3.836 0.000 0.000 0.000 3.836 0.000 0.000 0.000 3.801" Properties=species:S:1:pos:R:3 pbc="T T T"
W 1.918 1.918 1.900
Cr 0.000 1.918 0.000
H 0.000 0.000 0.000
Ru 0.000 0.000 1.900
Cr 1.918 0.000 0.000
```

Computed properties:
**Calculated density**: 11.58 g/cm3
**Calculated volume**: 56 Å³ per cell
**Total magnetic moment**: 0.00 μB/cell
**E above lowest polymorph**: 0 meV/atom
**Crystal system**: tetragonal

This record from Alexandria via LeMat-Bulk describes crystalline ScBeZn2 at its relaxed geometry. The functional is PBE.

extended XYZ file:
```
8
Lattice="-0.842 2.083 -3.436 0.369 -3.456 -2.186 -8.302 -2.212 -1.760" Properties=species:S:1:pos:R:3 pbc="T T T"
Zn -6.677 -2.512 -6.019
Zn -6.366 -2.522 -3.648
Be -4.085 -3.177 -3.378
Sc 0.000 0.000 0.000
Be -0.236 -0.686 -2.811
Sc -4.690 -0.408 -4.004
Zn -2.035 -2.243 -2.582
Zn -2.471 0.107 -2.515
```

Computed properties:
**Calculated density**: 4.40 g/cm3
**Calculated volume**: 140 Å³ per cell
**Energy relative to the elements**: 18.5 kJ/mol of atoms
**Total magnetic moment**: 0.00 μB/cell
**Crystal system**: tetragonal